[1]
# Sb2MoOs

A relaxed Sb2MoOs crystal (PBE-GGA, the Alexandria database).

Values from the calculation:
* offset from the most stable computed form: 208 meV/atom
* energy: -28.83 eV/cell
* magnetization: 0.0 μB/cell
* DOS(E_F): 2.6 states/eV per cell

POSCAR file:
```
Sb2MoOs
1.0
4.796 -1.640 0.000
4.796 1.640 0.000
-1.521 0.000 4.656
Sb Mo Os
2 1 1
Direct
0.000 0.000 0.000 Sb
0.226 0.226 0.629 Sb
0.482 0.482 0.514 Mo
0.745 0.745 0.121 Os
```

=====

[2]
# Sb2MoOs

A relaxed Sb2MoOs crystal (PBE-GGA, the Alexandria database).

Values from the calculation:
* offset from the most stable computed form: 0 meV/atom
* energy: -29.66 eV/cell
* magnetization: 0.0 μB/cell
* DOS(E_F): 2.1 states/eV per cell

POSCAR file:
```
Sb2MoOs
1.0
3.033 0.000 0.000
0.000 3.033 0.000
0.000 0.000 9.182
Sb Mo Os
2 1 1
Direct
0.000 0.000 0.000 Sb
0.500 0.500 0.390 Sb
0.000 0.000 0.614 Mo
0.500 0.500 0.797 Os
```

=====

[3]
# SbMoOs4

A relaxed SbMoOs4 crystal (PBE-GGA, the Alexandria database).

Values from the calculation:
* energy: -55.14 eV/cell
* magnetization: 0.0 μB/cell
* DOS(E_F): 6.5 states/eV per cell

POSCAR file:
```
SbMoOs4
1.0
0.000 3.682 3.682
3.682 0.000 3.682
3.682 3.682 0.000
Sb Mo Os
1 1 4
Direct
0.000 0.000 0.000 Sb
0.250 0.250 0.250 Mo
0.126 0.625 0.625 Os
0.625 0.126 0.625 Os
0.625 0.625 0.126 Os
0.625 0.625 0.625 Os
```

=====

[4]
# Sb2MoOs

A relaxed Sb2MoOs crystal (PBE-GGA, the Alexandria database).

Values from the calculation:
* offset from the most stable computed form: 897 meV/atom
* energy: -52.14 eV/cell
* magnetization: 4.0 μB/cell
* DOS(E_F): 7.2 states/eV per cell

POSCAR file:
```
Sb2MoOs
1.0
-3.040 3.040 6.039
3.040 -3.040 6.039
3.040 3.040 -6.039
Sb Mo Os
4 2 2
Direct
0.105 0.625 0.980 Sb
0.375 0.355 0.480 Sb
0.645 0.125 0.020 Sb
0.875 0.895 0.520 Sb
0.250 0.750 0.500 Mo
0.500 0.500 0.000 Mo
0.000 0.000 0.000 Os
0.750 0.250 0.500 Os
```

=====

[5]
# SrSbMoOs2

A relaxed SrSbMoOs2 crystal (PBE-GGA, the Alexandria database).

Values from the calculation:
* energy: -23.31 eV/cell
* magnetization: 2.2 μB/cell
* DOS(E_F): 6.2 states/eV per cell

POSCAR file:
```
SrSbMoOs2
1.0
4.913 0.000 0.000
0.000 4.913 0.000
0.000 0.000 4.921
Sr Sb Mo Os
1 1 1 2
Direct
0.000 0.000 0.000 Sr
0.500 0.500 0.500 Sb
0.000 0.000 0.500 Mo
0.000 0.500 0.000 Os
0.500 0.000 0.000 Os
```

=====

[6]
# Sb2TeMoOs

A relaxed Sb2TeMoOs crystal (PBE-GGA, the Alexandria database).

Values from the calculation:
* offset from the most stable computed form: 0 meV/atom
* energy: -27.21 eV/cell
* magnetization: 3.9 μB/cell
* DOS(E_F): 2.3 states/eV per cell

POSCAR file:
```
Sb2TeMoOs
1.0
4.988 0.000 0.000
0.000 4.988 0.000
0.000 0.000 5.704
Sb Te Mo Os
2 1 1 1
Direct
0.000 0.500 0.000 Sb
0.500 0.000 0.000 Sb
0.000 0.000 0.500 Te
0.500 0.500 0.500 Mo
0.000 0.000 0.000 Os
```

=====

> Number 3 is which compound?

SbMoOs4

=====

> What is the formula in the first record?

Sb2MoOs

=====

> Look up the DOS(E_F) of the second one.

2.1 states/eV per cell

=====

Please write out number 3 again, unchanged.
# SbMoOs4

A relaxed SbMoOs4 crystal (PBE-GGA, the Alexandria database).

Values from the calculation:
* energy: -55.14 eV/cell
* magnetization: 0.0 μB/cell
* DOS(E_F): 6.5 states/eV per cell

POSCAR file:
```
SbMoOs4
1.0
0.000 3.682 3.682
3.682 0.000 3.682
3.682 3.682 0.000
Sb Mo Os
1 1 4
Direct
0.000 0.000 0.000 Sb
0.250 0.250 0.250 Mo
0.126 0.625 0.625 Os
0.625 0.126 0.625 Os
0.625 0.625 0.126 Os
0.625 0.625 0.625 Os
```